1.
The following is a PBE calculation of crystalline YTiW2 at its relaxed geometry, from Alexandria.

Unit cell a=3.9688 b=3.9688 c=20.2814 alpha=90.00 beta=90.00 gamma=90.00
With the nearest neighbours (Å) after each atom.
Element x y z (fractional)
Y: 0.0000 0.0000 0.0000  4 Ti 2.81, 4 W 2.94
Y: 0.0000 0.5000 0.2500  4 Ti 2.81, 4 W 2.94
Y: 0.5000 0.0000 0.7500  4 Ti 2.81, 4 W 2.94
Y: 0.5000 0.5000 0.5000  4 Ti 2.81, 4 W 2.94
Ti: 0.0000 0.0000 0.5000  4 Y 2.81, 4 W 2.86
Ti: 0.0000 0.5000 0.7500  4 Y 2.81, 4 W 2.86
Ti: 0.5000 0.0000 0.2500  4 Y 2.81, 4 W 2.86
Ti: 0.5000 0.5000 0.0000  4 Y 2.81, 4 W 2.86
W: 0.2226 0.2500 0.6250  4 W 2.66-2.96, 2 Ti 2.86, 2 Y 2.94
W: 0.2500 0.7226 0.8750  4 W 2.66-2.96, 2 Ti 2.86, 2 Y 2.94
W: 0.2500 0.7774 0.3750  4 W 2.66-2.96, 2 Ti 2.86, 2 Y 2.94
W: 0.2774 0.2500 0.1250  4 W 2.66-2.96, 2 Ti 2.86, 2 Y 2.94
W: 0.7226 0.7500 0.1250  4 W 2.66-2.96, 2 Ti 2.86, 2 Y 2.94
W: 0.7500 0.2226 0.3750  4 W 2.66-2.96, 2 Ti 2.86, 2 Y 2.94
W: 0.7500 0.2774 0.8750  4 W 2.66-2.96, 2 Ti 2.86, 2 Y 2.94
W: 0.7774 0.7500 0.6250  4 W 2.66-2.96, 2 Ti 2.86, 2 Y 2.94

- Space group: I-42d, No. 122



2.
The following is a PBE calculation of crystalline YTi2W at its relaxed geometry, from Alexandria.

Unit cell a=6.7204 b=6.7204 c=6.7204 alpha=90.00 beta=90.00 gamma=90.00
With the nearest neighbours (Å) after each atom.
Element x y z (fractional)
Y: 0.0000 0.0000 0.0000  8 Ti 2.91
Y: 0.0000 0.5000 0.5000  8 Ti 2.91
Y: 0.5000 0.0000 0.5000  8 Ti 2.91
Y: 0.5000 0.5000 0.0000  8 Ti 2.91
Ti: 0.2500 0.2500 0.2500  4 W 2.91, 4 Y 2.91
Ti: 0.2500 0.2500 0.7500  4 W 2.91, 4 Y 2.91
Ti: 0.2500 0.7500 0.2500  4 W 2.91, 4 Y 2.91
Ti: 0.2500 0.7500 0.7500  4 W 2.91, 4 Y 2.91
Ti: 0.7500 0.2500 0.2500  4 W 2.91, 4 Y 2.91
Ti: 0.7500 0.2500 0.7500  4 W 2.91, 4 Y 2.91
Ti: 0.7500 0.7500 0.2500  4 W 2.91, 4 Y 2.91
Ti: 0.7500 0.7500 0.7500  4 W 2.91, 4 Y 2.91
W: 0.0000 0.0000 0.5000  8 Ti 2.91
W: 0.0000 0.5000 0.0000  8 Ti 2.91
W: 0.5000 0.0000 0.0000  8 Ti 2.91
W: 0.5000 0.5000 0.5000  8 Ti 2.91

- Space group: Fm-3m, No. 225



Number 1: E above lowest polymorph 363 meV/atom, ΔH_f (0 K) 0.97 eV per atom. Number 2: E above lowest polymorph 194 meV/atom, ΔH_f (0 K) 0.32 eV per atom.